# ZrPbI2 | the Alexandria database | SCAN | PBEsol geometry
# DOS at the Fermi energy	9.79	states/eV per cell
# ΔE_f (raw)	0.09	eV per atom
data_ZrPbI2
_chemical_formula_sum 'Zr4 Pb4 I8'
_cell_length_a 7.483
_cell_length_b 7.483
_cell_length_c 7.483
_cell_angle_alpha 90.00
_cell_angle_beta 90.00
_cell_angle_gamma 90.00
_symmetry_space_group_name_H-M 'F m -3 m'
_symmetry_Int_Tables_number 225
_symmetry_space_group_name_Hall '-F 4 2 3'
loop_
_atom_site_label
_atom_site_fract_x
_atom_site_fract_y
_atom_site_fract_z
Zr1 0.000 0.000 0.000
Pb1 0.000 0.000 0.500
I1 0.250 0.250 0.250